The following is a DFT calculation (PBE) of a relaxed SiAgAu2 crystal.

a b c (Å): 3.801 4.275 4.275
angles (deg): 90.00 90.00 90.00
Sites, in units of the cell vectors:
Ag: 0.500 0.000 0.500
Au: 0.000 0.000 0.000
Au: 0.000 0.500 0.500
Si: 0.500 0.500 0.000

## Properties
The calculation puts the calculated volume at 69.5 Å³ per cell. The uncorrected formation energy comes out at 0.15 eV/atom. The magnetization comes out at 0.00 μB/f.u. As for the theoretical density: 12.666 Mg/m³. The total energy comes out at -3.557 eV per atom.

***

The following is a DFT calculation (PBE) of a relaxed SiAg2Au3 crystal.

a b c (Å): 5.217 6.061 7.511
angles (deg): 92.07 107.47 106.89
Sites, in units of the cell vectors:
Si: 0.227 0.329 0.038
Si: 0.773 0.671 0.962
Ag: 0.311 0.318 0.582
Ag: 0.333 0.845 0.616
Ag: 0.667 0.155 0.384
Ag: 0.689 0.682 0.418
Au: 0.401 0.777 0.048
Au: 0.599 0.223 0.952
Au: 0.938 0.993 0.772
Au: 0.067 0.525 0.275
Au: 0.933 0.475 0.725
Au: 0.062 0.007 0.228

## Properties
The calculation puts the calculated volume at 214.8 Å³ per cell. The uncorrected formation energy comes out at 0.03 eV/atom. The magnetization comes out at 0.00 μB/f.u. As for the theoretical density: 12.904 Mg/m³. The total energy comes out at -3.468 eV per atom.

***

The following is a DFT calculation (PBE) of a relaxed Si2AgAu crystal.

a b c (Å): 4.422 4.422 5.332
angles (deg): 78.65 78.65 41.51
Sites, in units of the cell vectors:
Ag: 0.250 0.250 0.250
Au: 0.750 0.750 0.750
Si: 0.003 0.003 0.998
Si: 0.497 0.497 0.502

## Properties
The calculation puts the calculated volume at 67.6 Å³ per cell. The uncorrected formation energy comes out at 0.26 eV/atom. The magnetization comes out at 0.00 μB/f.u. As for the theoretical density: 8.871 Mg/m³. The total energy comes out at -3.985 eV per atom.

***

The following is a DFT calculation (PBE) of a relaxed SiAg2Au8 crystal.

a b c (Å): 5.118 6.819 6.819
angles (deg): 82.94 74.91 74.91
Sites, in units of the cell vectors:
Si: 0.000 0.000 0.000
Ag: 0.496 0.143 0.143
Ag: 0.504 0.857 0.857
Au: 0.807 0.156 0.691
Au: 0.193 0.309 0.844
Au: 0.908 0.270 0.270
Au: 0.092 0.730 0.730
Au: 0.807 0.691 0.156
Au: 0.193 0.844 0.309
Au: 0.299 0.429 0.429
Au: 0.701 0.571 0.571

## Properties
The calculation puts the calculated volume at 221.5 Å³ per cell. The uncorrected formation energy comes out at 0.12 eV/atom. The magnetization comes out at 0.00 μB/f.u. As for the theoretical density: 13.641 Mg/m³. The total energy comes out at -3.275 eV per atom.

***

The following is a DFT calculation (PBE) of a relaxed SiAg2Au crystal.

a b c (Å): 3.349 3.349 6.203
angles (deg): 90.00 90.00 90.00
Sites, in units of the cell vectors:
Ag: 0.000 0.000 0.985
Ag: 0.000 0.000 0.515
Au: 0.500 0.500 0.250
Si: 0.500 0.500 0.750

## Properties
The calculation puts the calculated volume at 69.6 Å³ per cell. The uncorrected formation energy comes out at 0.19 eV/atom. The magnetization comes out at 0.00 μB/f.u. As for the theoretical density: 10.520 Mg/m³. The total energy comes out at -3.412 eV per atom.

***

The following is a DFT calculation (PBE) of a relaxed SiAg2Au crystal.

a b c (Å): 9.157 9.157 9.157
angles (deg): 18.75 18.75 18.75
Sites, in units of the cell vectors:
Ag: 0.995 0.995 0.995
Ag: 0.750 0.750 0.750
Au: 0.506 0.506 0.506
Si: 0.248 0.248 0.248

## Properties
The calculation puts the calculated volume at 69.3 Å³ per cell. The uncorrected formation energy comes out at 0.12 eV/atom. The magnetization comes out at 0.00 μB/f.u. As for the theoretical density: 10.559 Mg/m³. The total energy comes out at -3.484 eV per atom.